! PBE LaAg4Ge, optimized geometry; values from VASP
&SYSTEM
  ibrav = 0, nat = 6, ntyp = 3
/
ATOMIC_SPECIES
La 138.91 La.upf
Ag 107.87 Ag.upf
Ge 72.64 Ge.upf
CELL_PARAMETERS angstrom
0.0000 3.9990 3.9990
3.9990 0.0000 3.9990
3.9990 3.9990 0.0000
ATOMIC_POSITIONS crystal
La 0.0000 0.0000 0.0000
Ag 0.3754 0.3754 0.3754
Ag 0.3754 0.3754 0.8738
Ag 0.3754 0.8738 0.3754
Ag 0.8738 0.3754 0.3754
Ge 0.7500 0.7500 0.7500
! total moment: 0.00 μB/f.u.
! E_tot: -3.6292 eV per atom
! energy relative to the elements: -0.138 eV per atom

! PBE Li3La2AgGe4, optimized geometry; values from VASP
&SYSTEM
  ibrav = 0, nat = 10, ntyp = 4
/
ATOMIC_SPECIES
Li 6.94 Li.upf
La 138.91 La.upf
Ag 107.87 Ag.upf
Ge 72.64 Ge.upf
CELL_PARAMETERS angstrom
4.3244 0.0000 0.0000
0.0000 4.3244 0.0000
0.0000 0.0000 10.6645
ATOMIC_POSITIONS crystal
Li 0.0000 0.0000 0.0000
Li 0.0000 0.5000 0.6252
Li 0.5000 0.0000 0.3748
La 0.0000 0.5000 0.2570
La 0.5000 0.0000 0.7430
Ag 0.5000 0.5000 0.0000
Ge 0.0000 0.0000 0.5000
Ge 0.0000 0.5000 0.8579
Ge 0.5000 0.0000 0.1421
Ge 0.5000 0.5000 0.5000
! total moment: 0.00 μB/f.u.
! E_tot: -4.2307 eV per atom
! energy relative to the elements: -0.539 eV per atom

Q: The highest energy relative to the elements belongs to which entry?
A: LaAg4Ge

What did the first record say?
! PBE LaAg4Ge, optimized geometry; values from VASP
&SYSTEM
  ibrav = 0, nat = 6, ntyp = 3
/
ATOMIC_SPECIES
La 138.91 La.upf
Ag 107.87 Ag.upf
Ge 72.64 Ge.upf
CELL_PARAMETERS angstrom
0.0000 3.9990 3.9990
3.9990 0.0000 3.9990
3.9990 3.9990 0.0000
ATOMIC_POSITIONS crystal
La 0.0000 0.0000 0.0000
Ag 0.3754 0.3754 0.3754
Ag 0.3754 0.3754 0.8738
Ag 0.3754 0.8738 0.3754
Ag 0.8738 0.3754 0.3754
Ge 0.7500 0.7500 0.7500
! total moment: 0.00 μB/f.u.
! E_tot: -3.6292 eV per atom
! energy relative to the elements: -0.138 eV per atom